(1)
# RbCd2TcI

Crystalline RbCd2TcI at its relaxed geometry (PBE-GGA, Alexandria).

Cell: 5.396 7.421 5.396 Å, 90.00 90.00 90.00°
Each line ends with the local moment (μB).
Atoms (fractional coordinates):
I 0.500 0.500 0.500  0.01
Tc 0.000 0.000 0.000  2.60
Cd 0.000 0.000 0.500  0.02
Cd 0.500 0.000 0.000  0.00
Rb 0.000 0.500 0.000  0.01

Calculated values
Uncorrected formation energy in eV/atom: 0.4689

---

(2)
# Ac2HPbF

Crystalline Ac2HPbF at its relaxed geometry (PBE-GGA, Alexandria).

Cell: 4.297 4.297 7.461 Å, 106.74 106.74 90.00°
Atoms (fractional coordinates):
H 0.750 0.250 0.500
Ac 0.641 0.641 0.283
Ac 0.359 0.359 0.717
F 0.250 0.750 0.500
Pb 0.000 0.000 0.000

---

(3)
# YSc2Ga6

Crystalline YSc2Ga6 at its relaxed geometry (PBE-GGA, Alexandria).

Cell: 3.350 7.615 7.615 Å, 120.00 90.00 90.00°
Atoms (fractional coordinates):
Ga 0.500 0.337 0.000
Ga 0.500 0.663 0.663
Ga 0.500 0.000 0.663
Ga 0.500 0.337 0.337
Ga 0.500 0.663 0.000
Ga 0.500 0.000 0.337
Sc 0.000 0.333 0.667
Sc 0.000 0.667 0.333
Y 0.000 0.000 0.000

Calculated values
Formation energy in eV per atom: -0.57
Energy above the most stable polymorph in this dataset in eV per formula unit: 0.00

---

(4)
# AlMoOs3

Crystalline AlMoOs3 at its relaxed geometry (PBE-GGA, Alexandria).

Cell: 4.353 4.353 4.353 Å, 90.00 90.00 90.00°
Atoms (fractional coordinates):
Os 0.000 0.000 0.500
Os 0.000 0.500 0.000
Os 0.500 0.000 0.000
Mo 0.500 0.500 0.500
Al 0.000 0.000 0.000

Calculated values
Formation energy in eV per atom: 1.54
Energy above the most stable polymorph in this dataset in eV per formula unit: 0.00

---

(5)
# ErTm2Co9

Crystalline ErTm2Co9 at its relaxed geometry (PBE-GGA, Alexandria).

Cell: 4.949 4.949 8.547 Å, 73.17 73.17 60.00°
Each line ends with the local moment (μB).
Atoms (fractional coordinates):
Co 0.665 0.665 0.005  1.48
Co 0.416 0.922 0.246  1.33
Co 0.584 0.584 0.754  1.33
Co 0.335 0.335 0.995  1.48
Co 0.078 0.584 0.754  1.33
Co 0.416 0.416 0.246  1.33
Co 0.584 0.078 0.754  1.33
Co 0.500 0.500 0.500  1.25
Co 0.922 0.416 0.246  1.33
Er 0.000 0.000 0.000  -0.33
Tm 0.860 0.860 0.420  -0.43
Tm 0.140 0.140 0.580  -0.43

Calculated values
Formation energy in eV per atom: -0.22

---

(6)
# SbPtWI2

Crystalline SbPtWI2 at its relaxed geometry (PBE-GGA, Alexandria).

Cell: 5.244 5.244 5.389 Å, 90.00 90.00 90.00°
Atoms (fractional coordinates):
Pt 0.500 0.500 0.500
I 0.000 0.500 0.000
I 0.500 0.000 0.000
W 0.000 0.000 0.000
Sb 0.000 0.000 0.500

Calculated values
Uncorrected formation energy in eV/atom: 1.2537
Energy above the most stable polymorph in this dataset in eV per formula unit: 0.00

---

(7)
# Ca2ReBr

Crystalline Ca2ReBr at its relaxed geometry (PBE-GGA, Alexandria).

Cell: 6.527 6.527 6.527 Å, 151.79 132.96 55.76°
Atoms (fractional coordinates):
Re 0.479 0.479 0.000
Ca 0.023 0.023 0.000
Ca 0.713 0.213 0.500
Br 0.285 0.785 0.500

Calculated values
Uncorrected formation energy in eV/atom: 0.2604
Energy above the most stable polymorph in this dataset in eV per formula unit: 1.38

---

(8)
# KLaZr2

Crystalline KLaZr2 at its relaxed geometry (PBE-GGA, Alexandria).

Cell: 5.310 5.310 8.485 Å, 87.45 87.45 35.72°
Atoms (fractional coordinates):
La 0.258 0.258 0.177
Zr 0.740 0.740 0.840
Zr 0.005 0.005 0.955
K 0.497 0.497 0.528

Calculated values
Formation energy in eV per atom: 0.51
Energy above the most stable polymorph in this dataset in eV per formula unit: 0.76

---

(9)
# Rb2MnSiS4

Crystalline Rb2MnSiS4 at its relaxed geometry (PBE-GGA, Alexandria).

Cell: 5.805 7.395 12.414 Å, 84.73 76.48 66.89°
Each line ends with the local moment (μB).
Atoms (fractional coordinates):
S 0.510 0.316 0.600  0.06
S 0.426 0.684 0.400  0.06
S 0.890 0.684 0.600  0.06
S 0.860 0.816 0.900  0.06
S 0.576 0.184 0.100  0.06
S 0.324 0.816 0.100  0.06
S 0.174 0.316 0.400  0.06
S 0.240 0.184 0.900  0.06
Mn 0.750 0.500 0.500  4.12
Mn 0.000 0.000 0.000  4.12
Rb 0.929 0.500 0.143  0.00
Rb 0.179 0.000 0.643  0.00
Rb 0.571 0.500 0.857  0.00
Rb 0.821 0.000 0.357  0.00
Si 0.250 0.500 0.500  0.01
Si 0.500 0.000 0.000  0.01

Calculated values
Uncorrected formation energy in eV/atom: -0.9814

---

(10)
# RbNpSi2O6

Crystalline RbNpSi2O6 at its relaxed geometry (PBE-GGA, Alexandria).

Cell: 7.380 7.380 5.460 Å, 97.30 97.30 88.32°
Each line ends with the local moment (μB).
Atoms (fractional coordinates):
Si 0.697 0.859 0.211  0.00
Si 0.859 0.697 0.711  0.00
Si 0.141 0.303 0.289  0.00
Si 0.303 0.141 0.789  0.00
O 0.181 0.164 0.032  0.00
O 0.696 0.545 0.655  -0.03
O 0.836 0.819 0.468  0.00
O 0.455 0.304 0.845  -0.03
O 0.819 0.836 0.968  0.00
O 0.629 0.070 0.257  -0.02
O 0.930 0.371 0.243  -0.02
O 0.070 0.629 0.757  -0.02
O 0.304 0.455 0.345  -0.03
O 0.164 0.181 0.532  0.00
O 0.545 0.696 0.155  -0.03
O 0.371 0.930 0.743  -0.02
Np 0.382 0.618 0.750  3.94
Np 0.618 0.382 0.250  3.94
Rb 0.172 0.828 0.250  0.01
Rb 0.828 0.172 0.750  0.01

Calculated values
Uncorrected formation energy in eV/atom: -2.6058

---

(11)
# LaThNiI

Crystalline LaThNiI at its relaxed geometry (PBE-GGA, Alexandria).

Cell: 4.066 4.067 8.405 Å, 93.26 103.51 113.57°
Atoms (fractional coordinates):
Ni 0.319 0.546 0.880
La 0.504 0.162 0.681
I 0.953 0.393 0.361
Th 0.102 0.929 0.047

Calculated values
Uncorrected formation energy in eV/atom: -0.6144

---

(12)
# Ti2VNi8

Crystalline Ti2VNi8 at its relaxed geometry (PBE-GGA, Alexandria).

Cell: 3.633 5.842 6.698 Å, 107.33 105.74 90.00°
Atoms (fractional coordinates):
Ni 0.961 0.272 0.922
Ni 0.863 0.822 0.726
Ni 0.677 0.907 0.353
Ni 0.323 0.093 0.647
Ni 0.137 0.178 0.274
Ni 0.407 0.557 0.814
Ni 0.593 0.443 0.186
Ni 0.039 0.728 0.078
Ti 0.219 0.659 0.439
Ti 0.781 0.341 0.561
V 0.500 0.000 0.000

Calculated values
Formation energy in eV per atom: -0.31

---

Number 1: energy -12.37 eV/cell. Number 2: energy -24.58 eV/cell. Number 3: energy -42.39 eV/cell. Number 4: energy -40.59 eV/cell. Number 5: energy -80.08 eV/cell. Number 6: energy -19.95 eV/cell. Number 7: energy -17.08 eV/cell. Number 8: energy -21.07 eV/cell. Number 9: energy -81.78 eV/cell. Number 10: energy -161.12 eV/cell. Number 11: energy -22.14 eV/cell. Number 12: energy -74.60 eV/cell.